1.
Material: Tm3Pa5As8
Method: DFT, PBE
State: relaxed

POSCAR file:
```
Tm3Pa5As8
1.0
7.0721 0.0000 4.0509
2.3759 6.6611 4.0509
0.0232 0.0164 8.1582
Tm Pa As
3 5 8
direct
0.0000 0.0000 0.5000
0.5000 0.0000 0.5000
0.0000 0.5000 0.5000
0.5000 0.5000 0.5000
0.5000 0.0000 0.0000
0.5000 0.5000 0.0000
0.0000 0.5000 0.0000
0.0000 0.0000 0.0000
0.7535 0.2500 0.7465
0.2493 0.2493 0.2521
0.7507 0.7507 0.7479
0.2500 0.7535 0.7465
0.2500 0.2500 0.7465
0.7500 0.7500 0.2535
0.7500 0.2465 0.2535
0.2465 0.7500 0.2535
```

Values from the calculation:
**Fermi-level density of states**: 1.093 states/eV per atom
**Formation energy from the elements**: -1204 meV/atom

2.
Material: Pr5Nd3
Method: DFT, PBE
State: relaxed

POSCAR file:
```
Pr5Nd3
1.0
-1.4349 7.2073 -1.2069
-7.4064 -2.1880 -4.2605
-3.9908 0.5197 7.8484
Nd Pr
6 10
direct
0.0000 0.4586 0.5414
0.7495 0.2088 0.7912
0.5000 0.0418 0.4591
0.5000 0.9591 0.0409
0.5000 0.5409 0.9582
0.2505 0.2088 0.7912
0.2504 0.2909 0.2086
0.2504 0.7914 0.7091
0.2505 0.7090 0.2910
0.0000 0.9593 0.0407
0.7496 0.7914 0.7091
0.0000 0.5402 0.9580
0.7495 0.7090 0.2910
0.7496 0.2909 0.2086
0.5000 0.4582 0.5418
0.0000 0.0420 0.4598
```

Values from the calculation:
**Fermi-level density of states**: 1.696 states/eV per atom
**Formation energy from the elements**: 31 meV/atom
**E above lowest polymorph**: 15.1 kJ/mol of formula units

3.
Material: TbPmHo6Tm2
Method: DFT, PBE
State: relaxed

POSCAR file:
```
TbPmHo6Tm2
1.0
-1.3917 -0.1082 -9.3300
-6.0683 -6.0934 1.4961
-2.4288 8.3472 0.7859
Ho Tb Pm Tm
12 2 2 4
direct
0.3183 0.9831 0.4363
0.1817 0.5637 0.0169
0.0567 0.1205 0.7538
0.8828 0.2921 0.5122
0.4433 0.2462 0.8795
0.9433 0.8795 0.2462
0.3828 0.5122 0.2921
0.6172 0.4878 0.7079
0.6817 0.0169 0.5637
0.5567 0.7538 0.1205
0.1172 0.7079 0.4878
0.8183 0.4363 0.9831
0.2500 0.4098 0.5902
0.7500 0.5902 0.4098
0.7500 0.0284 0.9716
0.2500 0.9716 0.0284
0.9523 0.6967 0.8012
0.4523 0.8012 0.6967
0.0477 0.3033 0.1988
0.5477 0.1988 0.3033
```

Values from the calculation:
**Fermi-level density of states**: 1.496 states/eV per atom
**Formation energy from the elements**: 123 meV/atom

4.
Material: Ba2TlHg
Method: DFT, PBE
State: relaxed

POSCAR file:
```
Ba2TlHg
1.0
6.6998 -2.1066 -3.8978
-1.8274 6.7813 3.8978
-4.6619 -0.0175 6.5410
Ba Tl Hg
2 1 1
direct
0.0000 0.7630 0.7630
0.0000 0.2370 0.2370
0.0000 0.5000 0.5000
0.0000 0.0000 0.0000
```

Values from the calculation:
**Fermi-level density of states**: 1.423 states/eV per atom
**Formation energy from the elements**: 195 meV/atom

5.
Material: CaAc2DySb4
Method: DFT, PBE
State: relaxed

POSCAR file:
```
CaAc2DySb4
1.0
4.6686 0.0000 0.0000
0.0000 7.8897 -0.0853
0.0000 2.8450 7.6040
Sb Dy Ac Ca
4 1 2 1
direct
0.5000 0.2716 0.7377
0.0000 0.2689 0.2494
0.0000 0.7311 0.7506
0.5000 0.7284 0.2623
0.0000 0.5000 0.5000
0.0000 0.0000 0.0000
0.5000 0.0000 0.5000
0.5000 0.5000 0.0000
```

Values from the calculation:
**Formation energy (no corrections)**: -1.05 eV per atom
**Fermi-level density of states**: 0.707 states/eV per atom

6.
Material: NaAl2HgP
Method: DFT, PBE
State: relaxed

POSCAR file:
```
NaAl2HgP
1.0
-1.3340 -0.4432 -4.5937
4.6607 -2.1284 -1.1480
-1.7652 -4.3692 0.9342
Na Al P Hg
1 2 1 1
direct
0.0000 0.5000 0.0000
0.5000 0.0000 0.0000
0.0000 0.0000 0.5000
0.0000 0.0000 0.0000
0.5000 0.5000 0.5000
```

Values from the calculation:
**Fermi-level density of states**: 0.400 states/eV per atom
**Formation energy from the elements**: 174 meV/atom

7.
Material: TiMn3Au
Method: DFT, PBE
State: relaxed

POSCAR file:
```
TiMn3Au
1.0
-0.6253 -1.9669 -3.9470
-2.7113 -2.9726 1.9109
-3.4780 2.6709 -0.7800
Au Mn Ti
1 3 1
direct
0.5000 0.5000 0.5000
0.5000 0.0000 0.0000
0.0000 0.0000 0.5000
0.0000 0.5000 0.0000
0.0000 0.0000 0.0000
```

Values from the calculation:
**Fermi-level density of states**: 1.051 states/eV per atom
**Formation energy from the elements**: 996 meV/atom
**E above lowest polymorph**: 0.0 kJ/mol of formula units

8.
Material: NpHgN2
Method: DFT, PBE
State: relaxed

POSCAR file:
```
NpHgN2
1.0
-1.9659 2.7563 -0.7119
-3.3934 -0.3908 -0.5487
-3.2690 1.8958 7.9608
N Hg Np
2 1 1
direct
0.8668 0.8668 0.3996
0.1332 0.1332 0.6004
0.0000 0.0000 0.0000
0.5000 0.5000 0.5000
```

Values from the calculation:
**Formation energy (no corrections)**: -0.48 eV per atom
**Fermi-level density of states**: 1.270 states/eV per atom

9.
Material: Mn2OsBr
Method: DFT, PBE
State: relaxed

POSCAR file:
```
Mn2OsBr
1.0
3.0376 0.0000 0.0000
0.0000 3.0376 0.0000
0.0000 0.0000 7.3938
Os Mn Br
1 2 1
direct
0.5000 0.5000 0.2500
0.0000 0.0000 0.0396
0.0000 0.0000 0.4604
0.5000 0.5000 0.7500
```

Values from the calculation:
**Formation energy (no corrections)**: 0.41 eV per atom
**Fermi-level density of states**: 0.799 states/eV per atom
**E above lowest polymorph**: 41.4 kJ/mol of formula units

10.
Material: Mg2PIr
Method: DFT, PBE
State: relaxed

POSCAR file:
```
Mg2PIr
1.0
3.5556 0.0000 0.0000
0.0000 4.0747 -0.0012
0.0000 2.0310 4.8900
Mg P Ir
2 1 1
direct
0.0000 0.9738 0.9277
0.5000 0.2707 0.3329
0.0000 0.7001 0.4757
0.5000 0.5553 0.7638
```

Values from the calculation:
**Fermi-level density of states**: 0.440 states/eV per atom
**Formation energy from the elements**: -493 meV/atom

11.
Material: Sm2MgZn3Ni12
Method: DFT, PBE
State: relaxed

POSCAR file:
```
Sm2MgZn3Ni12
1.0
-3.8049 -3.3485 3.8580
4.5568 -1.6917 4.1168
-1.0638 4.7222 4.1405
Ni Sm Zn Mg
12 2 3 1
direct
0.2832 0.8037 0.8037
0.8725 0.4035 0.4035
0.5965 0.1275 0.5965
0.1963 0.1963 0.7168
0.8037 0.8037 0.2832
0.7168 0.1963 0.1963
0.1963 0.7168 0.1963
0.4035 0.8725 0.4035
0.4035 0.4035 0.8725
0.1275 0.5965 0.5965
0.8037 0.2832 0.8037
0.5965 0.5965 0.1275
0.6810 0.6810 0.6810
0.3190 0.3190 0.3190
0.0000 0.5000 0.0000
0.5000 0.0000 0.0000
0.0000 0.0000 0.5000
0.0000 0.0000 0.0000
```

Values from the calculation:
**Fermi-level density of states**: 0.974 states/eV per atom
**Formation energy from the elements**: -44 meV/atom

12.
Material: LaCeHo14
Method: DFT, PBE
State: relaxed

POSCAR file:
```
LaCeHo14
1.0
7.0111 0.9977 0.0000
-0.9976 7.0111 0.0000
0.0000 0.0000 10.0171
Ho La Ce
14 1 1
direct
0.6250 0.3750 0.0000
0.1250 0.3751 0.5000
0.3729 0.1229 0.7527
0.8771 0.6271 0.2473
0.1250 0.8750 0.0000
0.8771 0.6271 0.7527
0.3729 0.6271 0.2474
0.8771 0.1229 0.7527
0.6250 0.8750 0.0000
0.1250 0.3750 0.0000
0.8771 0.1229 0.2473
0.6249 0.8750 0.5000
0.3729 0.1229 0.2473
0.3729 0.6271 0.7526
0.6251 0.3749 0.5000
0.1249 0.8751 0.5000
```

Values from the calculation:
**Fermi-level density of states**: 1.397 states/eV per atom
**Formation energy from the elements**: 36 meV/atom

13.
Material: HgPb2Au
Method: DFT, PBE
State: relaxed

POSCAR file:
```
HgPb2Au
1.0
5.2911 0.0000 0.0000
2.6456 4.5823 0.0000
2.6456 1.5274 4.3202
Pb Hg Au
2 1 1
direct
0.2500 0.2500 0.2500
0.0000 0.0000 0.0000
0.7500 0.7500 0.7500
0.5000 0.5000 0.5000
```

Values from the calculation:
**Fermi-level density of states**: 0.889 states/eV per atom
**Formation energy from the elements**: 133 meV/atom
**E above lowest polymorph**: 66.2 kJ/mol of formula units

14.
Material: NaNd2Ga
Method: DFT, PBE
State: relaxed

POSCAR file:
```
NaNd2Ga
1.0
-0.1831 5.3710 0.3352
-3.8381 2.3856 2.9277
1.2729 2.4541 4.6206
Nd Ga Na
2 1 1
direct
0.2500 0.2500 0.2500
0.7500 0.7500 0.7500
0.0000 0.0000 0.0000
0.5000 0.5000 0.5000
```

Values from the calculation:
**Fermi-level density of states**: 1.316 states/eV per atom
**Formation energy from the elements**: -147 meV/atom
**E above lowest polymorph**: 12.9 kJ/mol of formula units

15.
Material: TmUS3
Method: DFT, PBE
State: relaxed

POSCAR file:
```
TmUS3
1.0
6.8861 0.0000 0.0000
0.0000 6.9505 0.0000
0.0000 -3.4753 6.0194
S Tm U
6 2 2
direct
0.2500 0.3382 0.0747
0.7500 0.3382 0.2635
0.7500 0.9253 0.6618
0.2500 0.9253 0.2635
0.7500 0.7365 0.0747
0.2500 0.7365 0.6618
0.0000 0.6667 0.3333
0.5000 0.6667 0.3333
0.5000 0.0000 0.0000
0.0000 0.0000 0.0000
```

Values from the calculation:
**Formation energy (no corrections)**: -1.62 eV per atom
**Fermi-level density of states**: 1.249 states/eV per atom
**E above lowest polymorph**: 53.4 kJ/mol of formula units

16.
Material: TaCo
Method: DFT, PBE
State: relaxed

POSCAR file:
```
TaCo
1.0
1.5068 4.9902 0.0038
-1.5068 4.9902 0.0038
0.0000 1.7870 5.7817
Ta Co
3 3
direct
0.9822 0.9822 0.6048
0.3237 0.3237 0.3525
0.2588 0.2588 0.9247
0.6163 0.6163 0.2584
0.6713 0.6713 0.6664
0.9811 0.9811 0.0266
```

Values from the calculation:
**Fermi-level density of states**: 0.917 states/eV per atom
**Formation energy from the elements**: -33 meV/atom

17.
Material: LaSbPdI2
Method: DFT, PBE
State: relaxed

POSCAR file:
```
LaSbPdI2
1.0
5.3355 0.0000 0.0000
0.0000 5.3355 0.0000
0.0000 0.0000 5.5910
I Pd Sb La
2 1 1 1
direct
0.5000 0.0000 0.0000
0.0000 0.5000 0.0000
0.0000 0.0000 0.0000
0.0000 0.0000 0.5000
0.5000 0.5000 0.5000
```

Values from the calculation:
**Formation energy (no corrections)**: -0.41 eV per atom
**Fermi-level density of states**: 0.285 states/eV per atom
**E above lowest polymorph**: 0.0 kJ/mol of formula units

18.
Material: YTmSe
Method: DFT, PBE
State: relaxed

POSCAR file:
```
YTmSe
1.0
-0.1138 -1.6154 3.4739
2.0061 -1.6523 -2.8171
5.2312 3.3797 1.7429
Se Tm Y
1 1 1
direct
0.6667 0.3333 0.3307
0.0000 0.0000 0.0538
0.3333 0.6667 0.6155
```

Values from the calculation:
**Formation energy (no corrections)**: -1.11 eV per atom
**Fermi-level density of states**: 1.055 states/eV per atom
**E above lowest polymorph**: 0.0 kJ/mol of formula units

19.
Material: ZnAgRh
Method: DFT, PBE
State: relaxed

POSCAR file:
```
ZnAgRh
1.0
-5.1610 4.7162 -1.5431
-5.4873 4.0548 1.1287
1.2772 2.4011 -0.5348
Zn Rh Ag
1 1 1
direct
0.6728 0.6728 0.3272
0.3244 0.3244 0.6756
0.0029 0.0029 0.9971
```

Values from the calculation:
**Fermi-level density of states**: 0.731 states/eV per atom
**Formation energy from the elements**: 13 meV/atom
**E above lowest polymorph**: 26.3 kJ/mol of formula units

20.
Material: HfTlAu2
Method: DFT, PBE
State: relaxed

POSCAR file:
```
HfTlAu2
1.0
-0.0034 -0.6759 3.3723
-2.1776 -2.6099 -0.5253
5.6226 -4.5105 -0.8983
Au Tl Hf
2 1 1
direct
0.0000 0.0000 0.7851
0.0000 0.0000 0.2149
0.5000 0.5000 0.5000
0.5000 0.5000 0.0000
```

Values from the calculation:
**Fermi-level density of states**: 0.588 states/eV per atom
**Formation energy from the elements**: -247 meV/atom

21.
Material: KIrOs2
Method: DFT, PBE
State: relaxed

POSCAR file:
```
KIrOs2
1.0
-0.2525 -1.0026 -2.4976
-4.1681 -2.2816 1.3373
-2.6725 4.0804 -1.3679
Os K Ir
2 1 1
direct
0.5000 0.5000 0.0000
0.0000 0.0000 0.0000
0.0000 0.5000 0.5000
0.5000 0.0000 0.5000
```

Values from the calculation:
**Fermi-level density of states**: 1.559 states/eV per atom
**Formation energy from the elements**: 1463 meV/atom
**E above lowest polymorph**: 300.0 kJ/mol of formula units